Entry 1:
DFT (PBE) results for ErPa2NbC4 after structural relaxation.

Computed properties:
**Formation enthalpy at 0 K**: -0.43 eV per atom
**Crystal system**: orthorhombic

Lattice parameters (Å, degrees): 6.8942 7.0125 9.8481 90.00 90.00 90.00
Space group Imma (No. 74)
Asymmetric unit:
1 Er 0.0000 0.0000 0.0000 (multiplicity 4)
2 Pa 0.0000 0.0000 0.5000 (multiplicity 4)
3 Pa 0.2500 0.2500 0.2500 (multiplicity 4)
4 Nb 0.2500 0.2500 0.7500 (multiplicity 4)
5 C 0.0000 0.0159 0.7487 (multiplicity 8)
6 C 0.2421 0.2500 0.5092 (multiplicity 8)

---

Entry 2:
DFT (PBE) results for NaCe2ReN4 after structural relaxation.

Computed properties:
**Formation energy from raw total energies**: -785 meV/atom
**Crystal system**: orthorhombic

Lattice parameters (Å, degrees): 3.5427 12.4990 12.2888 90.00 90.00 90.00
Space group Cmcm (No. 63)
Asymmetric unit:
1 Na 0.0000 0.0546 0.2500 (multiplicity 4)
2 Ce 0.0000 0.3699 0.0452 (multiplicity 8)
3 Re 0.0000 0.2099 0.7500 (multiplicity 4)
4 N 0.0000 0.0000 0.0000 (multiplicity 4)
5 N 0.0000 0.2468 0.5969 (multiplicity 8)
6 N 0.0000 0.3632 0.2500 (multiplicity 4)

---

| no. | density of states at the Fermi level (states/eV per cell) | V (Å³ per atom) |
| --- | --- | --- |
| 1 | 18.3 | 14.9 |
| 2 | 19.5 | 17.0 |